A plane-wave DFT calculation with PBE-GGA was carried out for crystalline SrDyZn2In2 at its relaxed geometry.

Summary:
VASP energy, eV/atom: -2.797
Space-group type: P-3m1
D(E_F), states/eV per atom: 0.51
ΔE_f, eV per atom: -0.412

Unit cell a=4.7539 b=4.7539 c=7.8388 alpha=90.00 beta=90.00 gamma=120.00
Last column: nearest neighbours and their distance in Å.
Positions (direct):
Sr (0.0000, 0.0000, 0.0000)  6 In 3.54, 6 Zn 3.64, 2 Dy 3.92
Dy (0.0000, 0.0000, 0.5000)  6 Zn 3.14, 6 In 3.22
Zn (0.3333, 0.6667, 0.3058)  3 In 2.75
Zn (0.6667, 0.3333, 0.6942)  3 In 2.75
In (0.3333, 0.6667, 0.7143)  3 Zn 2.75
In (0.6667, 0.3333, 0.2857)  3 Zn 2.75